(1)
Nb2CdCoF: relaxed, PBE with a Hubbard U.

As for the total energy: -4.89 eV/atom. The total moment is 0.0 μB per formula unit.

The space group is P4/mmm (No. 123) and the conventional cell measures 4.5137, 4.5137 and 4.9259 Å, with angles of 90.00, 90.00 and 90.00 degrees. Symmetry generates all atoms from Nb at (0.0000, 0.5000, 0.0000), Cd at (0.0000, 0.0000, 0.5000), Co at (0.0000, 0.0000, 0.0000) and F at (0.5000, 0.5000, 0.5000).

***

(2)
CdCo2OF: relaxed, PBE with a Hubbard U.

As for the total energy: -3.50 eV/atom. The total moment is 3.6 μB per formula unit.

The space group is P4/mmm (No. 123) and the conventional cell measures 3.8099, 3.8099 and 5.0354 Å, with angles of 90.00, 90.00 and 90.00 degrees. Symmetry generates all atoms from Cd at (0.0000, 0.0000, 0.0000), Co at (0.0000, 0.5000, 0.5000), O at (0.5000, 0.5000, 0.0000) and F at (0.5000, 0.5000, 0.5000).

***

(3)
CdCoOsF2: relaxed, PBE with a Hubbard U.

As for the total energy: -3.87 eV/atom. The total moment is 5.1 μB per formula unit.

The space group is P4/mmm (No. 123) and the conventional cell measures 4.1110, 4.1110 and 6.0431 Å, with angles of 90.00, 90.00 and 90.00 degrees. Symmetry generates all atoms from Cd at (0.0000, 0.0000, 0.0000), Co at (0.5000, 0.5000, 0.5000), Os at (0.0000, 0.0000, 0.5000) and F at (0.0000, 0.5000, 0.0000).

***

(4)
CdCoPdF6: relaxed, PBE with a Hubbard U.

As for the total energy: -4.25 eV/atom. The total moment is 5.0 μB per formula unit.

The space group is P-31c (No. 163) and the conventional cell measures 5.6192, 5.6192 and 9.0733 Å, with angles of 90.00, 90.00 and 120.00 degrees. Symmetry generates all atoms from Cd at (0.3333, 0.6667, 0.2500), Co at (0.3333, 0.6667, 0.7500), Pd at (0.0000, 0.0000, 0.0000) and F at (0.0266, 0.3527, 0.6281).

***

(5)
CdCoPt2F: relaxed, PBE with a Hubbard U.

As for the total energy: -3.51 eV/atom. The total moment is 2.1 μB per formula unit.

The space group is P4/mmm (No. 123) and the conventional cell measures 4.4452, 4.4452 and 4.4104 Å, with angles of 90.00, 90.00 and 90.00 degrees. Symmetry generates all atoms from Cd at (0.0000, 0.0000, 0.0000), Co at (0.5000, 0.5000, 0.0000), Pt at (0.0000, 0.5000, 0.5000) and F at (0.0000, 0.0000, 0.5000).

***

(6)
Rb2CdCoF6: relaxed, PBE with a Hubbard U.

As for the total energy: -4.28 eV/atom. The total moment is 3.0 μB per formula unit.

The space group is I4/mmm (No. 139) and the conventional cell measures 6.1430, 6.1430 and 8.6085 Å, with angles of 90.00, 90.00 and 90.00 degrees. Symmetry generates all atoms from Rb at (0.0000, 0.5000, 0.2500), Cd at (0.0000, 0.0000, 0.0000), Co at (0.0000, 0.0000, 0.5000), F at (0.0000, 0.0000, 0.2644) and F at (0.2406, 0.2406, 0.5000).

***

Number 3 is which compound? CdCoOsF2

***

Which of these has the highest total moment? CdCoOsF2

***

Which formula does entry 2 have? CdCo2OF

***

Which of these has the lowest total moment? Nb2CdCoF